{"formula": "Li2CdFe", "functional": "PBE-GGA", "state": "relaxed", "formation_enthalpy_0k_ev_per_fu": 1.6, "lattice": [[-3.557, 3.557, 2.665], [3.557, -3.557, 2.665], [3.557, 3.557, -2.665]], "species": ["Li", "Li", "Li", "Li", "Cd", "Cd", "Fe", "Fe"], "frac_coords": [[0.114, 0.625, 0.989], [0.375, 0.364, 0.489], [0.636, 0.125, 0.011], [0.875, 0.886, 0.511], [0.250, 0.750, 0.500], [0.500, 0.500, 0.000], [0.000, 0.000, 0.000], [0.750, 0.250, 0.500]]}

{"formula": "Cd8AgPt2", "functional": "PBE-GGA", "state": "relaxed", "de_polymorph_mev_per_atom": 0, "formation_enthalpy_0k_ev_per_fu": -1.9, "lattice": [[-2.232, 3.953, 6.306], [2.232, -3.953, 6.306], [2.232, 3.953, -6.306]], "species": ["Cd", "Cd", "Cd", "Cd", "Cd", "Cd", "Cd", "Cd", "Ag", "Pt", "Pt"], "frac_coords": [[0.129, 0.344, 0.785], [0.147, 0.147, 0.000], [0.316, 0.000, 0.316], [0.442, 0.656, 0.785], [0.558, 0.344, 0.215], [0.684, 0.000, 0.684], [0.853, 0.853, 0.000], [0.871, 0.656, 0.215], [0.000, 0.500, 0.500], [0.298, 0.798, 0.500], [0.702, 0.202, 0.500]]}

{"formula": "Pu2HfCrN5", "functional": "PBE-GGA", "state": "relaxed", "formation_energy_uncorrected_ev_per_atom": -1.11, "lattice": [[1.627, -6.621, 0.000], [1.627, 6.621, 0.000], [0.000, 0.000, 10.077]], "species": ["Pu", "Pu", "Pu", "Pu", "Hf", "Hf", "Cr", "Cr", "N", "N", "N", "N", "N", "N", "N", "N", "N", "N"], "frac_coords": [[0.111, 0.889, 0.500], [0.141, 0.859, 0.100], [0.859, 0.141, 0.600], [0.889, 0.111, 0.000], [0.210, 0.790, 0.809], [0.790, 0.210, 0.309], [0.486, 0.514, 0.270], [0.514, 0.486, 0.770], [0.044, 0.956, 0.852], [0.285, 0.715, 0.462], [0.321, 0.679, 0.170], [0.372, 0.628, 0.802], [0.488, 0.512, 0.591], [0.512, 0.488, 0.091], [0.628, 0.372, 0.302], [0.679, 0.321, 0.670], [0.715, 0.285, 0.962], [0.956, 0.044, 0.352]]}

{"formula": "KPb2Cl", "functional": "PBE-GGA", "state": "relaxed", "de_polymorph_mev_per_atom": 604, "formation_energy_uncorrected_ev_per_atom": -0.10, "lattice": [[3.545, 0.000, 0.000], [0.000, 3.545, 0.000], [0.000, 0.000, 10.522]], "species": ["K", "Pb", "Pb", "Cl"], "frac_coords": [[0.000, 0.000, 0.000], [0.500, 0.500, 0.293], [0.500, 0.500, 0.707], [0.000, 0.000, 0.500]]}

{"formula": "CeMn2PC", "functional": "PBE-GGA", "state": "relaxed", "formation_enthalpy_0k_ev_per_fu": -2.8, "lattice": [[2.636, -5.158, 0.000], [2.636, 5.158, 0.000], [0.000, 0.000, 5.229]], "species": ["Ce", "Ce", "Mn", "Mn", "Mn", "Mn", "P", "P", "C", "C"], "frac_coords": [[0.248, 0.752, 0.750], [0.752, 0.248, 0.250], [0.263, 0.263, 0.000], [0.263, 0.263, 0.500], [0.737, 0.737, 0.000], [0.737, 0.737, 0.500], [0.118, 0.882, 0.250], [0.882, 0.118, 0.750], [0.439, 0.561, 0.250], [0.561, 0.439, 0.750]]}

{"formula": "Gd2TiAg", "functional": "PBE-GGA", "state": "relaxed", "de_polymorph_mev_per_atom": 0, "formation_enthalpy_0k_ev_per_fu": 0.0, "lattice": [[3.418, 0.000, 0.000], [0.000, 3.418, 0.000], [0.000, 0.000, 8.382]], "species": ["Gd", "Gd", "Ti", "Ag"], "frac_coords": [[0.000, 0.000, 0.250], [0.000, 0.000, 0.750], [0.500, 0.500, 0.000], [0.500, 0.500, 0.500]]}